1.
A relaxed structure of Ce2W2N7. Source: Alexandria, functional PBE-GGA.

Cell lengths 5.2661, 6.0527, 6.0527 Å; angles 107.62, 96.77, 96.77 degrees
Fractional positions:
W  0.1015  0.7626  0.7626
W  0.8985  0.2374  0.2374
N  0.7029  0.0782  0.3977
N  0.2971  0.6023  0.9218
N  0.2971  0.9218  0.6023
N  0.2191  0.4166  0.4166
N  0.7809  0.5834  0.5834
N  0.7029  0.3977  0.0782
N  0.0000  0.0000  0.0000
Ce  0.5000  0.6941  0.3059
Ce  0.5000  0.3059  0.6941

Summary:
SG ... C2/m (12)
Raw formation energy ... -0.71 eV/atom


2.
A relaxed structure of Nb2BO6. Source: Alexandria, functional PBE-GGA.

Cell lengths 3.2456, 3.8529, 9.2973 Å; angles 85.10, 79.95, 65.09 degrees
Fractional positions:
O  0.9487  0.4005  0.7021
O  0.8583  0.1598  0.1236
O  0.1417  0.8402  0.8764
O  0.6805  0.1918  0.4473
O  0.0513  0.5995  0.2979
O  0.3195  0.8082  0.5527
Nb  0.6822  0.9710  0.6647
Nb  0.3178  0.0290  0.3353
B  0.0000  0.0000  0.0000

Summary:
SG ... C2/m (12)
Raw formation energy ... -2.04 eV/atom


Number 1: DFT total energy -9.443 eV/atom. Number 2: DFT total energy -8.322 eV/atom.